Here is a geometry-optimized SmCoO4 structure from Alexandria via LeMat-Bulk. Energies are from GGA+U.

Results
The value obtained for the density of states at the Fermi level is 1.258 states/eV/cell. As for the calculated density: 5.455 g cm⁻³. As for the final energy: -39.27 eV per formula unit.

The structure in CIF format:
```
data_SmCoO4
_space_group_name_H-M_alt 'C 1 m 1'
_space_group_IT_number 8
_cell_length_a 6.0019
_cell_length_b 5.4347
_cell_length_c 5.3421
_cell_angle_alpha 90.00
_cell_angle_beta 107.29
_cell_angle_gamma 90.00
loop_
_space_group_symop_operation_xyz
'x,y,z'
'x,-y,z'
'x+1/2,y+1/2,z'
'x+1/2,-y+1/2,z'
loop_
_atom_site_label
_atom_site_type_symbol
_atom_site_fract_x
_atom_site_fract_y
_atom_site_fract_z
Sm1 Sm 0.0000 0.0000 0.0000
Co1 Co 0.4787 0.0000 0.4695
O1 O 0.1325 0.2974 0.7319
O2 O 0.3427 0.2314 0.2539
```